[1]
Below is an optimized crystal structure of LiPmEr2Tl4, with properties calculated at the GGA-PBE level.

CIF file:
```
data_LiPmEr2Tl4
_cell_length_a 5.2449
_cell_length_b 5.2449
_cell_length_c 26.6344
_cell_angle_alpha 90.00
_cell_angle_beta 90.00
_cell_angle_gamma 120.00
_space_group_name_H-M_alt 'R -3 m'
_space_group_IT_number 166
_space_group_name_Hall '-R 3 2"'
loop_
_atom_site_label
_atom_site_type_symbol
_atom_site_fract_x
_atom_site_fract_y
_atom_site_fract_z
Li1 Li 0.0000 0.0000 0.0000
Pm1 Pm 0.0000 0.0000 0.5000
Er1 Er 0.0000 0.0000 0.2545
Tl1 Tl 0.0000 0.0000 0.1210
Tl2 Tl 0.0000 0.0000 0.3718
```

[2]
Below is an optimized crystal structure of Li2PmErTl4, with properties calculated at the GGA-PBE level.

CIF file:
```
data_Li2PmErTl4
_cell_length_a 5.2121
_cell_length_b 5.2121
_cell_length_c 25.5422
_cell_angle_alpha 90.00
_cell_angle_beta 90.00
_cell_angle_gamma 120.00
_space_group_name_H-M_alt 'R -3 m'
_space_group_IT_number 166
_space_group_name_Hall '-R 3 2"'
loop_
_atom_site_label
_atom_site_type_symbol
_atom_site_fract_x
_atom_site_fract_y
_atom_site_fract_z
Li1 Li 0.0000 0.0000 0.2492
Pm1 Pm 0.0000 0.0000 0.0000
Er1 Er 0.0000 0.0000 0.5000
Tl1 Tl 0.0000 0.0000 0.1268
Tl2 Tl 0.0000 0.0000 0.3772
```

[3]
Below is an optimized crystal structure of LiPmErTm, with properties calculated at the GGA-PBE level.

CIF file:
```
data_LiPmErTm
_cell_length_a 7.7426
_cell_length_b 7.7426
_cell_length_c 7.7426
_cell_angle_alpha 90.00
_cell_angle_beta 90.00
_cell_angle_gamma 90.00
_space_group_name_H-M_alt 'F -4 3 m'
_space_group_IT_number 216
_space_group_name_Hall 'F -4 2 3'
loop_
_atom_site_label
_atom_site_type_symbol
_atom_site_fract_x
_atom_site_fract_y
_atom_site_fract_z
Li1 Li 0.0000 0.0000 0.0000
Pm1 Pm 0.2500 0.2500 0.2500
Er1 Er 0.2500 0.2500 0.7500
Tm1 Tm 0.0000 0.0000 0.5000
```

[4]
Below is an optimized crystal structure of LiPmErZn, with properties calculated at the GGA-PBE level.

Computed properties:
ΔE to the lowest computed polymorph = 0.000 eV/f.u.

CIF file:
```
data_LiPmErZn
_cell_length_a 3.6484
_cell_length_b 3.6484
_cell_length_c 7.3989
_cell_angle_alpha 90.00
_cell_angle_beta 90.00
_cell_angle_gamma 90.00
_space_group_name_H-M_alt 'P 4 m m'
_space_group_IT_number 99
_space_group_name_Hall 'P 4 -2'
loop_
_atom_site_label
_atom_site_type_symbol
_atom_site_fract_x
_atom_site_fract_y
_atom_site_fract_z
Li1 Li 0.0000 0.0000 0.0000
Pm1 Pm 0.5000 0.5000 0.7214
Er1 Er 0.5000 0.5000 0.2563
Zn1 Zn 0.0000 0.0000 0.4750
```

[5]
Below is an optimized crystal structure of LiPmErZn, with properties calculated at the GGA-PBE level.

Computed properties:
ΔE to the lowest computed polymorph = 0.023 eV/f.u.

CIF file:
```
data_LiPmErZn
_cell_length_a 7.2781
_cell_length_b 7.2781
_cell_length_c 7.2781
_cell_angle_alpha 90.00
_cell_angle_beta 90.00
_cell_angle_gamma 90.00
_space_group_name_H-M_alt 'F -4 3 m'
_space_group_IT_number 216
_space_group_name_Hall 'F -4 2 3'
loop_
_atom_site_label
_atom_site_type_symbol
_atom_site_fract_x
_atom_site_fract_y
_atom_site_fract_z
Li1 Li 0.0000 0.0000 0.0000
Pm1 Pm 0.2500 0.2500 0.7500
Er1 Er 0.2500 0.2500 0.2500
Zn1 Zn 0.0000 0.0000 0.5000
```

[6]
Below is an optimized crystal structure of LiPr5Er4, with properties calculated at the GGA-PBE level.

CIF file:
```
data_LiPr5Er4
_cell_length_a 3.6352
_cell_length_b 3.6352
_cell_length_c 24.5175
_cell_angle_alpha 90.00
_cell_angle_beta 90.00
_cell_angle_gamma 90.00
_space_group_name_H-M_alt 'P 4/m m m'
_space_group_IT_number 123
_space_group_name_Hall '-P 4 2'
loop_
_atom_site_label
_atom_site_type_symbol
_atom_site_fract_x
_atom_site_fract_y
_atom_site_fract_z
Li1 Li 0.0000 0.0000 0.0000
Pr1 Pr 0.5000 0.5000 0.0893
Pr2 Pr 0.5000 0.5000 0.2946
Pr3 Pr 0.5000 0.5000 0.5000
Er1 Er 0.0000 0.0000 0.1909
Er2 Er 0.0000 0.0000 0.3971
```

no.,ΔE_f (eV/atom)
1,-0.320
2,-0.320
3,0.163
4,-0.118
5,-0.112
6,0.037